No. 1
# Sc3TaSe (PBE, relaxed)
# - E: -31.45 eV/cell
# - ΔE to the lowest computed polymorph: 0.501 eV/atom
# - Calculated volume: 26.92 Å³/atom
# - Magnetic moment: 0.000 μB per cell
# - Fermi-level density of states: 1.60 states/eV per atom
# - Formation energy from raw total energies: 13.29 kcal/mol of atoms
data_Sc3TaSe
_chemical_formula_sum 'Sc3 Ta1 Se1'
_symmetry_space_group_name_H-M 'P m -3 m'
_symmetry_Int_Tables_number 221
_symmetry_space_group_name_Hall '-P 4 2 3'
_cell_length_a 5.125
_cell_length_b 5.125
_cell_length_c 5.125
_cell_angle_alpha 90.00
_cell_angle_beta 90.00
_cell_angle_gamma 90.00
loop_
_atom_site_label
_atom_site_fract_x
_atom_site_fract_y
_atom_site_fract_z
Sc1 0.000 0.000 0.500
Ta1 0.000 0.000 0.000
Se1 0.500 0.500 0.500

***

No. 2
# Sc2TaSe6 (PBE, relaxed)
# - E: -110.20 eV/cell
# - Calculated volume: 22.55 Å³/atom
# - Magnetic moment: 0.000 μB per cell
# - Fermi-level density of states: 0.43 states/eV per atom
# - Formation energy from raw total energies: -24.80 kcal/mol of atoms
data_Sc2TaSe6
_chemical_formula_sum 'Sc4 Ta2 Se12'
_symmetry_space_group_name_H-M 'P 1 21/c 1'
_symmetry_Int_Tables_number 14
_symmetry_space_group_name_Hall '-P 2ybc'
_cell_length_a 6.344
_cell_length_b 6.970
_cell_length_c 11.043
_cell_angle_alpha 90.00
_cell_angle_beta 123.78
_cell_angle_gamma 90.00
loop_
_atom_site_label
_atom_site_fract_x
_atom_site_fract_y
_atom_site_fract_z
Sc1 0.190 0.126 0.233
Ta1 0.500 0.000 0.000
Se1 0.093 0.183 0.927
Se2 0.265 0.675 0.927
Se3 0.402 0.038 0.742

***

No. 3
# ScTaSe (PBE, relaxed)
# - E: -22.09 eV/cell
# - ΔE to the lowest computed polymorph: 0.400 eV/atom
# - Calculated volume: 19.67 Å³/atom
# - Magnetic moment: 0.117 μB per cell
# - Fermi-level density of states: 1.28 states/eV per atom
# - Formation energy from raw total energies: -3.27 kcal/mol of atoms
data_ScTaSe
_chemical_formula_sum 'Sc1 Ta1 Se1'
_symmetry_space_group_name_H-M 'P -6 m 2'
_symmetry_Int_Tables_number 187
_symmetry_space_group_name_Hall 'P -6 2'
_cell_length_a 4.5160
_cell_length_b 4.5160
_cell_length_c 3.3405
_cell_angle_alpha 90.00
_cell_angle_beta 90.00
_cell_angle_gamma 120.00
loop_
_atom_site_label
_atom_site_fract_x
_atom_site_fract_y
_atom_site_fract_z
Sc1 0.0000 0.0000 0.0000
Ta1 0.3333 0.6667 0.5000
Se1 0.6667 0.3333 0.5000

***

No. 4
# Sc2TaSe4 (PBE, relaxed)
# - E: -86.80 eV/cell
# - Calculated volume: 24.25 Å³/atom
# - Magnetic moment: 1.108 μB per cell
# - Fermi-level density of states: 0.90 states/eV per atom
# - Formation energy from raw total energies: -16.29 kcal/mol of atoms
data_Sc2TaSe4
_chemical_formula_sum 'Sc4 Ta2 Se8'
_symmetry_space_group_name_H-M 'I 4/m m m'
_symmetry_Int_Tables_number 139
_symmetry_space_group_name_Hall '-I 4 2'
_cell_length_a 5.028
_cell_length_b 5.028
_cell_length_c 13.429
_cell_angle_alpha 90.00
_cell_angle_beta 90.00
_cell_angle_gamma 90.00
loop_
_atom_site_label
_atom_site_fract_x
_atom_site_fract_y
_atom_site_fract_z
Sc1 0.000 0.000 0.119
Ta1 0.000 0.000 0.500
Se1 0.000 0.000 0.308
Se2 0.000 0.500 0.000

***

No. 5
# Sc2TaSe (PBE, relaxed)
# - E: -58.65 eV/cell
# - Calculated volume: 20.35 Å³/atom
# - Magnetic moment: 0.000 μB per cell
# - Fermi-level density of states: 1.15 states/eV per atom
# - Formation energy from raw total energies: -7.64 kcal/mol of atoms
data_Sc2TaSe
_chemical_formula_sum 'Sc4 Ta2 Se2'
_symmetry_space_group_name_H-M 'C 1 m 1'
_symmetry_Int_Tables_number 8
_symmetry_space_group_name_Hall 'C -2y'
_cell_length_a 10.486
_cell_length_b 3.218
_cell_length_c 5.050
_cell_angle_alpha 90.00
_cell_angle_beta 107.21
_cell_angle_gamma 90.00
loop_
_atom_site_label
_atom_site_fract_x
_atom_site_fract_y
_atom_site_fract_z
Sc1 0.000 0.000 0.000
Sc2 0.205 0.000 0.653
Ta1 0.260 0.500 0.184
Se1 0.451 0.000 0.498

***

No. 6
# ScTa2Se (PBE, relaxed)
# - E: -100.60 eV/cell
# - Calculated volume: 19.28 Å³/atom
# - Magnetic moment: 0.000 μB per cell
# - Fermi-level density of states: 0.80 states/eV per atom
# - Formation energy from raw total energies: -0.07 kcal/mol of atoms
data_ScTa2Se
_chemical_formula_sum 'Sc3 Ta6 Se3'
_symmetry_space_group_name_H-M 'R -3 m'
_symmetry_Int_Tables_number 166
_symmetry_space_group_name_Hall '-R 3 2"'
_cell_length_a 3.1662
_cell_length_b 3.1662
_cell_length_c 26.6489
_cell_angle_alpha 90.00
_cell_angle_beta 90.00
_cell_angle_gamma 120.00
loop_
_atom_site_label
_atom_site_fract_x
_atom_site_fract_y
_atom_site_fract_z
Sc1 0.0000 0.0000 0.0000
Ta1 0.0000 0.0000 0.2407
Se1 0.0000 0.0000 0.5000

***

No. 7
# ScTa2Se4 (PBE, relaxed)
# - E: -88.29 eV/cell
# - Calculated volume: 24.39 Å³/atom
# - Magnetic moment: 6.528 μB per cell
# - Fermi-level density of states: 0.97 states/eV per atom
# - Formation energy from raw total energies: -0.57 kcal/mol of atoms
data_ScTa2Se4
_chemical_formula_sum 'Sc2 Ta4 Se8'
_symmetry_space_group_name_H-M 'I 4/m m m'
_symmetry_Int_Tables_number 139
_symmetry_space_group_name_Hall '-I 4 2'
_cell_length_a 5.152
_cell_length_b 5.152
_cell_length_c 12.865
_cell_angle_alpha 90.00
_cell_angle_beta 90.00
_cell_angle_gamma 90.00
loop_
_atom_site_label
_atom_site_fract_x
_atom_site_fract_y
_atom_site_fract_z
Sc1 0.000 0.000 0.000
Ta1 0.000 0.000 0.396
Se1 0.000 0.000 0.206
Se2 0.000 0.500 0.000

***

No. 8
# ScTa2Se (PBE, relaxed)
# - E: -70.19 eV/cell
# - Calculated volume: 19.46 Å³/atom
# - Magnetic moment: 0.000 μB per cell
# - Fermi-level density of states: 0.65 states/eV per atom
# - Formation energy from raw total energies: -9.06 kcal/mol of atoms
data_ScTa2Se
_chemical_formula_sum 'Sc2 Ta4 Se2'
_symmetry_space_group_name_H-M 'A m m 2'
_symmetry_Int_Tables_number 38
_symmetry_space_group_name_Hall 'A 2 -2'
_cell_length_a 3.461
_cell_length_b 3.568
_cell_length_c 12.609
_cell_angle_alpha 90.00
_cell_angle_beta 90.00
_cell_angle_gamma 90.00
loop_
_atom_site_label
_atom_site_fract_x
_atom_site_fract_y
_atom_site_fract_z
Sc1 0.000 0.000 0.000
Ta1 0.000 0.000 0.247
Ta2 0.500 0.000 0.643
Se1 0.500 0.000 0.418

***

Copy entry 5 word for word.
# Sc2TaSe (PBE, relaxed)
# - E: -58.65 eV/cell
# - Calculated volume: 20.35 Å³/atom
# - Magnetic moment: 0.000 μB per cell
# - Fermi-level density of states: 1.15 states/eV per atom
# - Formation energy from raw total energies: -7.64 kcal/mol of atoms
data_Sc2TaSe
_chemical_formula_sum 'Sc4 Ta2 Se2'
_symmetry_space_group_name_H-M 'C 1 m 1'
_symmetry_Int_Tables_number 8
_symmetry_space_group_name_Hall 'C -2y'
_cell_length_a 10.486
_cell_length_b 3.218
_cell_length_c 5.050
_cell_angle_alpha 90.00
_cell_angle_beta 107.21
_cell_angle_gamma 90.00
loop_
_atom_site_label
_atom_site_fract_x
_atom_site_fract_y
_atom_site_fract_z
Sc1 0.000 0.000 0.000
Sc2 0.205 0.000 0.653
Ta1 0.260 0.500 0.184
Se1 0.451 0.000 0.498